Material: LaN
Method: DFT, PBE-GGA
State: relaxed

Properties
**Total energy**: -7.901 eV per atom
**Formation energy from raw total energies**: -1.27 eV per atom

Unit cell a=3.965 b=3.965 c=3.965 alpha=60.00 beta=60.00 gamma=60.00
Fractional coordinates of all 2 atoms:
La 0.000 0.000 0.000
N 0.250 0.250 0.250

=====

Material: NpTlPdRh
Method: DFT, PBE-GGA
State: relaxed

Properties
**Total energy**: -7.110 eV per atom
**ΔH_f (0 K)**: -0.15 eV per atom

Unit cell a=4.815 b=4.815 c=4.815 alpha=60.00 beta=60.00 gamma=60.00
Fractional coordinates of all 4 atoms:
Np 0.000 0.000 0.000
Tl 0.500 0.500 0.500
Pd 0.750 0.750 0.750
Rh 0.250 0.250 0.250

=====

Material: Sc7FeI12
Method: DFT, PBE-GGA
State: relaxed

Properties
**Total energy**: -4.628 eV per atom
**Formation energy from raw total energies**: -1.06 eV per atom

Unit cell a=9.442 b=9.442 c=9.442 alpha=107.43 beta=107.43 gamma=107.43
Fractional coordinates of all 20 atoms:
Sc 0.000 0.000 0.000
Sc 0.221 0.477 0.412
Sc 0.412 0.221 0.477
Sc 0.477 0.412 0.221
Sc 0.523 0.588 0.779
Sc 0.588 0.779 0.523
Sc 0.779 0.523 0.588
Fe 0.500 0.500 0.500
I 0.044 0.117 0.339
I 0.117 0.339 0.044
I 0.190 0.575 0.723
I 0.277 0.810 0.425
I 0.339 0.044 0.117
I 0.425 0.277 0.810
I 0.575 0.723 0.190
I 0.661 0.956 0.883
I 0.723 0.190 0.575
I 0.810 0.425 0.277
I 0.883 0.661 0.956
I 0.956 0.883 0.661

=====

Material: PmNd2ScSb4
Method: DFT, PBE-GGA
State: relaxed

Properties
**Total energy**: -5.738 eV per atom
**Formation energy from raw total energies**: -1.10 eV per atom

Unit cell a=7.674 b=4.440 c=7.678 alpha=90.00 beta=109.52 gamma=90.00
Fractional coordinates of all 8 atoms:
Pm 0.000 0.000 0.000
Nd 0.500 0.000 0.500
Nd 0.500 0.500 0.000
Sc 0.000 0.500 0.500
Sb 0.234 0.000 0.735
Sb 0.241 0.500 0.256
Sb 0.759 0.500 0.744
Sb 0.766 0.000 0.265

=====

Material: CdSnHg6
Method: DFT, PBE-GGA
State: relaxed

Properties
**Offset from the most stable computed form**: 0.007 eV/atom
**Total energy**: -0.793 eV per atom
**ΔH_f (0 K)**: 0.05 eV per atom

Unit cell a=4.497 b=4.497 c=10.098 alpha=90.00 beta=90.00 gamma=90.00
Fractional coordinates of all 8 atoms:
Cd 0.000 0.000 0.000
Sn 0.000 0.000 0.500
Hg 0.000 0.500 0.245
Hg 0.000 0.500 0.755
Hg 0.500 0.000 0.245
Hg 0.500 0.000 0.755
Hg 0.500 0.500 0.000
Hg 0.500 0.500 0.500

=====

Material: Tl6I5F2
Method: DFT, PBE-GGA
State: relaxed

Properties
**Total energy**: -2.877 eV per atom
**Formation energy from raw total energies**: -0.90 eV per atom

Unit cell a=13.613 b=16.491 c=4.388 alpha=90.00 beta=90.00 gamma=90.00
Fractional coordinates of all 26 atoms:
Tl 0.030 0.119 0.000
Tl 0.162 0.604 0.000
Tl 0.170 0.308 0.500
Tl 0.330 0.808 0.500
Tl 0.338 0.104 0.000
Tl 0.470 0.619 0.000
Tl 0.530 0.381 0.000
Tl 0.662 0.896 0.000
Tl 0.670 0.192 0.500
Tl 0.830 0.692 0.500
Tl 0.838 0.396 0.000
Tl 0.970 0.881 0.000
I 0.000 0.500 0.500
I 0.082 0.752 0.500
I 0.173 0.010 0.500
I 0.327 0.510 0.500
I 0.418 0.252 0.500
I 0.500 0.000 0.500
I 0.582 0.748 0.500
I 0.673 0.490 0.500
I 0.827 0.990 0.500
I 0.918 0.248 0.500
F 0.169 0.217 0.000
F 0.331 0.717 0.000
F 0.669 0.283 0.000
F 0.831 0.783 0.000

=====

Material: Pm2Tc2Ge2N
Method: DFT, PBE-GGA
State: relaxed

Properties
**Total energy**: -7.563 eV per atom
**Formation energy from raw total energies**: -0.74 eV per atom

Unit cell a=5.977 b=5.977 c=7.099 alpha=124.57 beta=124.57 gamma=40.13
Fractional coordinates of all 7 atoms:
Pm 0.064 0.064 0.293
Pm 0.936 0.936 0.707
Tc 0.302 0.302 0.911
Tc 0.698 0.698 0.089
Ge 0.345 0.345 0.305
Ge 0.655 0.655 0.695
N 0.500 0.500 0.000

=====

Material: RbAgPb2
Method: DFT, PBE-GGA
State: relaxed

Properties
**Total energy**: -2.892 eV per atom
**ΔH_f (0 K)**: -0.08 eV per atom

Unit cell a=7.445 b=7.445 c=7.445 alpha=38.74 beta=38.74 gamma=38.74
Fractional coordinates of all 4 atoms:
Rb 0.000 0.000 0.000
Ag 0.500 0.500 0.500
Pb 0.211 0.211 0.211
Pb 0.789 0.789 0.789